[1]
## ZrHPbBr (PBE)

Data for a relaxed ZrHPbBr crystal.

Cell lengths 5.215, 3.371, 5.245 Å; angles 90.00, 96.96, 90.00 degrees
Fractional positions:
Zr (0.000, 0.000, 0.000)
H (0.135, 0.500, 0.182)
Pb (0.482, 0.500, 0.919)
Br (0.826, 0.000, 0.482)

## Properties
SG: Pm

=====

[2]
## HPd3Br (PBE)

Data for a relaxed HPd3Br crystal.

Cell lengths 4.141, 4.141, 4.141 Å; angles 90.00, 90.00, 90.00 degrees
Fractional positions:
H (0.000, 0.000, 0.000)
Pd (0.000, 0.000, 0.500)
Pd (0.000, 0.500, 0.000)
Pd (0.500, 0.000, 0.000)
Br (0.500, 0.500, 0.500)

## Properties
SG: Pm-3m

=====

[3]
## HPdBr3 (PBE)

Data for a relaxed HPdBr3 crystal.

Cell lengths 5.136, 5.136, 5.136 Å; angles 90.00, 90.00, 90.00 degrees
Fractional positions:
H (0.000, 0.000, 0.000)
Pd (0.500, 0.500, 0.500)
Br (0.000, 0.500, 0.500)
Br (0.500, 0.000, 0.500)
Br (0.500, 0.500, 0.000)

## Properties
SG: Pm-3m

=====

What did we get for E_tot? Answer: -4.629 -3.907 -2.289 eV/atom, in the order shown.